The following is a DFT calculation (GGA-PBE) of K8BiAu2 after structural relaxation.

abc: 9.2597 9.2597 6.3735
angles: 98.21 98.21 110.83
Closest atoms and distances in Å follow each position.
Fractional coordinates of all 11 atoms:
1 K 0.0578 0.3115 0.5812  2 Au 3.48-3.58, 2 K 3.76-3.87
2 K 0.2392 0.7608 0.0000  2 Au 3.41, 1 Bi 3.65
3 K 0.3115 0.0578 0.5812  2 Au 3.48-3.58, 2 K 3.76-3.87
4 K 0.3628 0.3628 0.1890  2 Au 3.49, 1 Bi 3.70
5 K 0.6372 0.6372 0.8110  2 Au 3.49, 1 Bi 3.70
6 K 0.6885 0.9422 0.4188  2 Au 3.48-3.58, 2 K 3.76-3.87
7 K 0.7608 0.2392 0.0000  2 Au 3.41, 1 Bi 3.65
8 K 0.9422 0.6885 0.4188  2 Au 3.48-3.58, 2 K 3.76-3.87
9 Bi 0.0000 0.0000 0.0000  4 K 3.65-3.70
10 Au 0.3190 0.6810 0.5000  8 K 3.41-3.58
11 Au 0.6810 0.3190 0.5000  8 K 3.41-3.58

Results
ΔE_f   -217 meV per atom
SG   No. 12
Spin magnetization   0.0 μB/f.u.

---

The following is a DFT calculation (GGA-PBE) of K3BiAu after structural relaxation.

abc: 6.1780 6.1780 6.1780
angles: 90.00 90.00 90.00
Closest atoms and distances in Å follow each position.
Fractional coordinates of all 5 atoms:
1 K 0.0000 0.0000 0.5000  2 Au 3.09
2 K 0.0000 0.5000 0.0000  2 Au 3.09
3 K 0.5000 0.0000 0.0000  2 Au 3.09
4 Bi 0.5000 0.5000 0.5000  12 K 4.37
5 Au 0.0000 0.0000 0.0000  6 K 3.09

Results
ΔE_f   -128 meV per atom
SG   No. 221
Spin magnetization   1.0 μB/f.u.

---

The following is a DFT calculation (GGA-PBE) of K2LiBi4Au3 after structural relaxation.

abc: 4.9290 4.9290 12.0741
angles: 90.00 90.00 90.00
Closest atoms and distances in Å follow each position.
Fractional coordinates of all 10 atoms:
1 K 0.0000 0.5000 0.2408  8 Bi 3.74-3.98, 6 Au 3.77-3.81, 2 Li 3.81
2 K 0.5000 0.0000 0.7592  8 Bi 3.74-3.98, 6 Au 3.77-3.81, 2 Li 3.81
3 Li 0.5000 0.5000 0.0000  4 Bi 2.91
4 Bi 0.0000 0.0000 0.5000  4 Au 2.99
5 Bi 0.0000 0.5000 0.8725  3 Au 2.81-2.91, 2 Li 2.91
6 Bi 0.5000 0.0000 0.1275  3 Au 2.81-2.91, 2 Li 2.91
7 Bi 0.5000 0.5000 0.5000  4 Au 2.99
8 Au 0.0000 0.0000 0.0000  4 Bi 2.91
9 Au 0.0000 0.5000 0.6398  5 Bi 2.81-2.99
10 Au 0.5000 0.0000 0.3602  5 Bi 2.81-2.99

Results
ΔE_f   -288 meV per atom
SG   No. 115
Spin magnetization   0.0 μB/f.u.

---

The following is a DFT calculation (GGA-PBE) of KNaBiAu after structural relaxation.

abc: 5.1439 5.9459 5.9459
angles: 53.89 90.00 90.00
Closest atoms and distances in Å follow each position.
Fractional coordinates of all 4 atoms:
1 K 0.0000 0.0000 0.0000  3 Au 3.23-3.40
2 Na 0.5000 0.7193 0.7193  3 Bi 3.28-3.43
3 Bi 0.5000 0.3961 0.3961  2 Au 2.75
4 Au 0.0000 0.3047 0.3047  2 Bi 2.75

Results
ΔE_f   -317 meV per atom
SG   No. 38
Spin magnetization   0.0 μB/f.u.

---

The following is a DFT calculation (GGA-PBE) of KNaBiAu after structural relaxation.

abc: 5.3520 5.3520 5.3520
angles: 60.00 60.00 60.00
Closest atoms and distances in Å follow each position.
Fractional coordinates of all 4 atoms:
1 K 0.0000 0.0000 0.0000  4 Na 3.28, 4 Au 3.28
2 Na 0.2500 0.2500 0.2500  4 Bi 3.28, 4 K 3.28
3 Bi 0.5000 0.5000 0.5000  4 Na 3.28, 4 Au 3.28
4 Au 0.7500 0.7500 0.7500  4 K 3.28, 4 Bi 3.28

Results
ΔE_f   -247 meV per atom
SG   No. 216
Spin magnetization   0.0 μB/f.u.

---

The following is a DFT calculation (GGA-PBE) of KNa2BiAu after structural relaxation.

abc: 5.6910 5.6910 5.5960
angles: 90.00 90.00 90.00
Closest atoms and distances in Å follow each position.
Fractional coordinates of all 5 atoms:
1 K 0.0000 0.0000 0.0000  8 Na 3.99, 4 Bi 4.02
2 Na 0.0000 0.5000 0.5000  2 Au 2.85
3 Na 0.5000 0.0000 0.5000  2 Au 2.85
4 Bi 0.5000 0.5000 0.0000  2 Au 2.80
5 Au 0.5000 0.5000 0.5000  2 Bi 2.80, 4 Na 2.85

Results
ΔE_f   -204 meV per atom
SG   No. 123
Spin magnetization   0.0 μB/f.u.

---

The following is a DFT calculation (GGA-PBE) of KNa2Bi2Au2 after structural relaxation.

abc: 10.5378 10.5378 10.5378
angles: 27.01 27.01 27.01
Closest atoms and distances in Å follow each position.
Fractional coordinates of all 7 atoms:
1 K 0.0000 0.0000 0.0000  6 Bi 3.84, 6 Au 3.96, 2 Na 4.25
2 Na 0.1395 0.1395 0.1395  4 Au 3.14-3.21, 3 Na 3.29, 3 Bi 3.29
3 Na 0.8605 0.8605 0.8605  4 Au 3.14-3.21, 3 Na 3.29, 3 Bi 3.29
4 Bi 0.4181 0.4181 0.4181  3 Au 2.85
5 Bi 0.5819 0.5819 0.5819  3 Au 2.85
6 Au 0.2426 0.2426 0.2426  3 Bi 2.85, 1 Na 3.14
7 Au 0.7574 0.7574 0.7574  3 Bi 2.85, 1 Na 3.14

Results
ΔE_f   -347 meV per atom
SG   No. 166
Spin magnetization   0.0 μB/f.u.

---

The following is a DFT calculation (GGA-PBE) of KBi2AuO after structural relaxation.

abc: 6.0209 6.0209 3.9717
angles: 90.00 90.00 90.00
Closest atoms and distances in Å follow each position.
Fractional coordinates of all 5 atoms:
1 K 0.0000 0.0000 0.0000  8 Bi 3.61, 2 K 3.97
2 Bi 0.0000 0.5000 0.5000  2 Au 3.01
3 Bi 0.5000 0.0000 0.5000  2 Au 3.01
4 Au 0.5000 0.5000 0.5000  2 O 1.99
5 O 0.5000 0.5000 0.0000  2 Au 1.99

Results
SG   No. 123
Spin magnetization   0.0 μB/f.u.
E_form (uncorrected)   11.3 kJ per mole of atoms

---

The following is a DFT calculation (GGA-PBE) of K8BiAu2O after structural relaxation.

abc: 6.1660 7.8130 10.4198
angles: 89.95 90.00 79.15
Closest atoms and distances in Å follow each position.
Fractional coordinates of all 12 atoms:
1 K 0.0371 0.2440 0.0000  2 Au 3.48, 2 Bi 3.53-3.78
2 K 0.1165 0.6991 0.5002  1 O 2.57
3 K 0.4508 0.2762 0.2957  1 O 2.81
4 K 0.4514 0.2761 0.7045  1 O 2.81
5 K 0.5486 0.7239 0.2955  1 O 2.81
6 K 0.5492 0.7238 0.7043  1 O 2.81
7 K 0.8835 0.3009 0.4998  1 O 2.57
8 K 0.9629 0.7560 0.0000  2 Au 3.48, 2 Bi 3.53-3.78
9 Bi 0.5000 0.5000 0.0000  8 K 3.53-3.78
10 Au 0.9996 0.9999 0.2762  6 K 3.29-3.66
11 Au 0.0004 0.0001 0.7238  6 K 3.29-3.66
12 O 0.5000 0.5000 0.5000  6 K 2.57-2.81

Results
SG   No. 2
Spin magnetization   0.0 μB/f.u.
E_form (uncorrected)   -41.3 kJ per mole of atoms

---

The following is a DFT calculation (GGA-PBE) of KBi2Au2O6 after structural relaxation.

abc: 6.1148 6.1753 6.7355
angles: 117.23 96.42 106.49
Closest atoms and distances in Å follow each position.
Fractional coordinates of all 11 atoms:
1 K 0.0000 0.0000 0.0000  2 O 2.64
2 Bi 0.0190 0.3327 0.6774  6 O 2.23-2.40
3 Bi 0.9810 0.6673 0.3226  6 O 2.23-2.40
4 Au 0.4598 0.0429 0.8173  3 O 2.02-2.25
5 Au 0.5402 0.9571 0.1827  3 O 2.02-2.25
6 O 0.1585 0.7162 0.6631  1 Au 2.02
7 O 0.2258 0.6556 0.0755  1 Au 2.03
8 O 0.2593 0.1148 0.5671  2 Bi 2.23-2.40, 1 Au 2.25
9 O 0.7407 0.8852 0.4329  2 Bi 2.23-2.40, 1 Au 2.25
10 O 0.7742 0.3444 0.9245  1 Au 2.03
11 O 0.8415 0.2838 0.3369  1 Au 2.02

Results
SG   No. 2
Spin magnetization   0.0 μB/f.u.
E_form (uncorrected)   -67.0 kJ per mole of atoms

---

The following is a DFT calculation (GGA-PBE) of KBiPb2Au after structural relaxation.

abc: 5.4900 5.4900 6.7485
angles: 90.00 90.00 90.00
Closest atoms and distances in Å follow each position.
Fractional coordinates of all 5 atoms:
1 K 0.0000 0.0000 0.0000  2 Au 3.21-3.54
2 Bi 0.5000 0.5000 0.1622  4 Pb 3.29
3 Pb 0.0000 0.5000 0.4317  2 Au 2.82
4 Pb 0.5000 0.0000 0.4317  2 Au 2.82
5 Au 0.0000 0.0000 0.5243  4 Pb 2.82

Results
ΔE_f   -74 meV per atom
SG   No. 99
Spin magnetization   0.0 μB/f.u.

---

The following is a DFT calculation (GGA-PBE) of K2BiPb4Au3 after structural relaxation.

abc: 5.0983 5.0983 12.0944
angles: 90.00 90.00 90.00
Closest atoms and distances in Å follow each position.
Fractional coordinates of all 10 atoms:
1 K 0.0000 0.5000 0.2499  8 Pb 3.82-3.95, 6 Au 3.93-3.96, 2 Bi 3.96
2 K 0.5000 0.0000 0.7501  8 Pb 3.82-3.95, 6 Au 3.93-3.96, 2 Bi 3.96
3 Bi 0.0000 0.0000 0.5000  4 Pb 3.09
4 Pb 0.0000 0.0000 0.0000  4 Au 2.94
5 Pb 0.0000 0.5000 0.6445  3 Au 2.84-3.09, 2 Bi 3.09
6 Pb 0.5000 0.0000 0.3555  3 Au 2.84-3.09, 2 Bi 3.09
7 Pb 0.5000 0.5000 0.0000  4 Au 2.94
8 Au 0.0000 0.5000 0.8792  5 Pb 2.84-2.94
9 Au 0.5000 0.0000 0.1208  5 Pb 2.84-2.94
10 Au 0.5000 0.5000 0.5000  4 Pb 3.09

Results
ΔE_f   -160 meV per atom
SG   No. 115
Spin magnetization   0.0 μB/f.u.

---

The following is a DFT calculation (GGA-PBE) of KPmBiAu after structural relaxation.

abc: 5.5231 5.5231 5.5231
angles: 60.00 60.00 60.00
Closest atoms and distances in Å follow each position.
Fractional coordinates of all 4 atoms:
1 K 0.0000 0.0000 0.0000  4 Bi 3.38, 4 Au 3.38
2 Pm 0.5000 0.5000 0.5000  4 Bi 3.38, 4 Au 3.38
3 Bi 0.7500 0.7500 0.7500  4 K 3.38, 4 Pm 3.38
4 Au 0.2500 0.2500 0.2500  4 Pm 3.38, 4 K 3.38

Results
ΔE_f   -489 meV per atom
SG   No. 216
Spin magnetization   0.0 μB/f.u.

---

The following is a DFT calculation (GGA-PBE) of K2Rb3Bi2Au4 after structural relaxation.

abc: 15.3216 15.3216 15.3216
angles: 159.06 159.06 29.78
Closest atoms and distances in Å follow each position.
Fractional coordinates of all 11 atoms:
1 K 0.1916 0.1916 0.0000  1 Bi 3.66, 4 Au 4.07, 4 Rb 4.08
2 K 0.8084 0.8084 0.0000  1 Bi 3.66, 4 Au 4.07, 4 Rb 4.08
3 Rb 0.3442 0.3442 0.0000  4 Au 3.38
4 Rb 0.5000 0.5000 0.0000  8 Au 3.88
5 Rb 0.6558 0.6558 0.0000  4 Au 3.38
6 Bi 0.0681 0.0681 0.0000  4 Au 2.87
7 Bi 0.9319 0.9319 0.0000  4 Au 2.87
8 Au 0.0913 0.5913 0.5000  2 Bi 2.87
9 Au 0.4087 0.9087 0.5000  2 Bi 2.87
10 Au 0.5913 0.0913 0.5000  2 Bi 2.87
11 Au 0.9087 0.4087 0.5000  2 Bi 2.87

Results
ΔE_f   -177 meV per atom
SG   No. 139
Spin magnetization   0.0 μB/f.u.

---

The following is a DFT calculation (GGA-PBE) of K2RbBiAu after structural relaxation.

abc: 6.4584 6.4584 5.5895
angles: 90.00 90.00 90.00
Closest atoms and distances in Å follow each position.
Fractional coordinates of all 5 atoms:
1 K 0.0000 0.5000 0.0000  2 Au 3.23
2 K 0.5000 0.0000 0.0000  2 Au 3.23
3 Rb 0.0000 0.0000 0.5000  8 K 4.27, 4 Bi 4.57
4 Bi 0.5000 0.5000 0.5000  2 Au 2.79
5 Au 0.5000 0.5000 0.0000  2 Bi 2.79

Results
ΔE_f   -207 meV per atom
SG   No. 123
Spin magnetization   0.5 μB/f.u.

---

The following is a DFT calculation (GGA-PBE) of KBi2AuS4 after structural relaxation.

abc: 7.0421 7.0421 15.2259
angles: 90.00 90.00 144.98
Closest atoms and distances in Å follow each position.
Fractional coordinates of all 16 atoms:
1 K 0.1326 0.8674 0.7500  6 S 3.32-3.39, 1 Au 3.44
2 K 0.8674 0.1326 0.2500  6 S 3.32-3.39, 1 Au 3.44
3 Bi 0.3658 0.6342 0.5560  5 S 2.71-2.91
4 Bi 0.3658 0.6342 0.9440  5 S 2.71-2.91
5 Bi 0.6342 0.3658 0.0560  5 S 2.71-2.91
6 Bi 0.6342 0.3658 0.4440  5 S 2.71-2.91
7 Au 0.1238 0.8762 0.2500  2 S 2.30
8 Au 0.8762 0.1238 0.7500  2 S 2.30
9 S 0.0000 0.0000 0.0000  4 Bi 2.91
10 S 0.0000 0.0000 0.5000  4 Bi 2.91
11 S 0.2681 0.7319 0.1000  3 Bi 2.71-2.86, 1 Au 3.00
12 S 0.2681 0.7319 0.4000  3 Bi 2.71-2.86, 1 Au 3.00
13 S 0.4426 0.5574 0.7500  2 Au 2.30
14 S 0.5574 0.4426 0.2500  2 Au 2.30
15 S 0.7319 0.2681 0.6000  3 Bi 2.71-2.86, 1 Au 3.00
16 S 0.7319 0.2681 0.9000  3 Bi 2.71-2.86, 1 Au 3.00

Results
SG   No. 63
Spin magnetization   0.0 μB/f.u.
E_form (uncorrected)   -43.9 kJ per mole of atoms

---

The following is a DFT calculation (GGA-PBE) of KBiAuS2 after structural relaxation.

abc: 7.2119 4.8839 8.4248
angles: 90.00 100.90 90.00
Closest atoms and distances in Å follow each position.
Fractional coordinates of all 10 atoms:
1 K 0.0000 0.1696 0.2500  6 S 3.32-3.39
2 K 0.0000 0.8304 0.7500  6 S 3.32-3.39
3 Bi 0.5000 0.4499 0.7500  4 S 2.87-2.94, 2 Au 3.04
4 Bi 0.5000 0.5501 0.2500  4 S 2.87-2.94, 2 Au 3.04
5 Au 0.5000 0.0000 0.0000  2 S 2.37
6 Au 0.5000 0.0000 0.5000  2 S 2.37
7 S 0.2486 0.3202 0.9653  1 Au 2.37
8 S 0.2486 0.6798 0.4653  1 Au 2.37
9 S 0.7514 0.3202 0.5347  1 Au 2.37
10 S 0.7514 0.6798 0.0347  1 Au 2.37

Results
SG   No. 13
Spin magnetization   0.0 μB/f.u.
E_form (uncorrected)   -45.9 kJ per mole of atoms

---

The following is a DFT calculation (GGA-PBE) of KBi2SbAu2 after structural relaxation.

abc: 4.8041 8.4904 9.3224
angles: 90.00 90.00 90.00
Closest atoms and distances in Å follow each position.
Fractional coordinates of all 12 atoms:
1 K 0.0000 0.0110 0.0000  6 Au 3.48-3.74, 2 Bi 3.62-3.79, 4 Sb 3.66-3.73
2 K 0.0000 0.9890 0.5000  6 Au 3.48-3.74, 2 Bi 3.62-3.79, 4 Sb 3.66-3.73
3 Bi 0.0000 0.3389 0.2479  3 Au 2.82-2.97
4 Bi 0.0000 0.6611 0.7479  3 Au 2.82-2.97
5 Bi 0.5000 0.4001 0.4742  1 Au 2.99, 1 Sb 3.06, 2 Bi 3.24
6 Bi 0.5000 0.5999 0.9742  1 Au 2.99, 1 Sb 3.06, 2 Bi 3.24
7 Sb 0.5000 0.1839 0.7373  3 Au 2.70-2.71
8 Sb 0.5000 0.8161 0.2373  3 Au 2.70-2.71
9 Au 0.0000 0.3286 0.7560  2 Sb 2.70, 1 Bi 2.82
10 Au 0.0000 0.6714 0.2560  2 Sb 2.70, 1 Bi 2.82
11 Au 0.5000 0.1338 0.2648  1 Sb 2.71, 3 Bi 2.97-2.99
12 Au 0.5000 0.8662 0.7648  1 Sb 2.71, 3 Bi 2.97-2.99

Results
SG   No. 26
Spin magnetization   0.0 μB/f.u.
E_form (uncorrected)   -16.6 kJ per mole of atoms

---

The following is a DFT calculation (GGA-PBE) of KBiSb2Au4 after structural relaxation.

abc: 5.0625 5.0625 8.3945
angles: 90.00 90.00 90.00
Closest atoms and distances in Å follow each position.
Fractional coordinates of all 8 atoms:
1 K 0.0000 0.0000 0.0000  8 Au 3.64, 8 Sb 3.88
2 Bi 0.0000 0.0000 0.5000  8 Au 2.98
3 Sb 0.5000 0.5000 0.1785  4 Au 2.77, 1 Sb 3.00
4 Sb 0.5000 0.5000 0.8215  4 Au 2.77, 1 Sb 3.00
5 Au 0.0000 0.5000 0.3117  2 Sb 2.77, 2 Bi 2.98
6 Au 0.0000 0.5000 0.6883  2 Sb 2.77, 2 Bi 2.98
7 Au 0.5000 0.0000 0.3117  2 Sb 2.77, 2 Bi 2.98
8 Au 0.5000 0.0000 0.6883  2 Sb 2.77, 2 Bi 2.98

Results
SG   No. 123
Spin magnetization   0.0 μB/f.u.
E_form (uncorrected)   -14.5 kJ per mole of atoms

---

The following is a DFT calculation (GGA-PBE) of KBiSbAu after structural relaxation.

abc: 6.5433 6.5433 6.5433
angles: 138.32 130.24 66.86
Closest atoms and distances in Å follow each position.
Fractional coordinates of all 4 atoms:
1 K 0.0000 0.0000 0.0000  4 Sb 3.70-3.78, 4 Au 3.80, 5 Bi 3.85-3.95
2 Bi 0.3526 0.3526 0.0000  1 Au 2.82, 2 Sb 3.03
3 Sb 0.7367 0.2367 0.5000  2 Au 2.70
4 Au 0.6107 0.6107 0.0000  2 Sb 2.70, 1 Bi 2.82

Results
SG   No. 44
Spin magnetization   0.0 μB/f.u.
E_form (uncorrected)   -17.7 kJ per mole of atoms